--- w ---
Compound: SrPrNi
Source: Alexandria via LeMat-Bulk
Functional: PBE-GGA
Structure: optimized geometry

```
data_SrPrNi
_chemical_formula_sum 'Sr2 Pr2 Ni2'
_cell_length_a 3.980
_cell_length_b 4.161
_cell_length_c 11.871
_cell_angle_alpha 90.00
_cell_angle_beta 99.62
_cell_angle_gamma 90.00
_space_group_name_H-M_alt 'P 1 21/m 1'
_space_group_IT_number 11
loop_
_space_group_symop_operation_xyz
'x,y,z'
'-x,-y,-z'
'-x,y+1/2,-z'
'x,-y+1/2,z'
loop_
_atom_site_label
_atom_site_type_symbol
_atom_site_fract_x
_atom_site_fract_y
_atom_site_fract_z
Sr1 Sr 0.180 0.250 0.363
Pr1 Pr 0.438 0.250 0.874
Ni1 Ni 0.032 0.250 0.065
```

--- x ---
Compound: SrPrNi
Source: Alexandria via LeMat-Bulk
Functional: PBE-GGA
Structure: optimized geometry

```
data_SrPrNi
_chemical_formula_sum 'Sr4 Pr4 Ni4'
_cell_length_a 7.039
_cell_length_b 8.401
_cell_length_c 7.309
_cell_angle_alpha 90.00
_cell_angle_beta 110.75
_cell_angle_gamma 90.00
_space_group_name_H-M_alt 'P 1 21/c 1'
_space_group_IT_number 14
loop_
_space_group_symop_operation_xyz
'x,y,z'
'-x,-y,-z'
'-x,y+1/2,-z+1/2'
'x,-y+1/2,z+1/2'
loop_
_atom_site_label
_atom_site_type_symbol
_atom_site_fract_x
_atom_site_fract_y
_atom_site_fract_z
Sr1 Sr 0.240 0.130 0.483
Pr1 Pr 0.285 0.623 0.523
Ni1 Ni 0.482 0.622 0.257
```

What should be chosen as the most stable of them? Choose w.

--- w ---
Compound: Tb2PrNi
Source: Alexandria via LeMat-Bulk
Functional: PBE-GGA
Structure: optimized geometry

```
data_Tb2PrNi
_chemical_formula_sum 'Tb8 Pr4 Ni4'
_cell_length_a 4.867
_cell_length_b 12.005
_cell_length_c 7.369
_cell_angle_alpha 90.00
_cell_angle_beta 90.00
_cell_angle_gamma 90.00
_space_group_name_H-M_alt 'C m c m'
_space_group_IT_number 63
_space_group_name_Hall '-C 2c 2'
loop_
_atom_site_label
_atom_site_type_symbol
_atom_site_fract_x
_atom_site_fract_y
_atom_site_fract_z
Tb1 Tb 0.000 0.154 0.029
Pr1 Pr 0.000 0.462 0.250
Ni1 Ni 0.000 0.305 0.750
```

--- x ---
Compound: Tb2PrNi
Source: Alexandria via LeMat-Bulk
Functional: PBE-GGA
Structure: optimized geometry

```
data_Tb2PrNi
_chemical_formula_sum 'Tb6 Pr3 Ni3'
_cell_length_a 3.8596
_cell_length_b 3.8596
_cell_length_c 27.0593
_cell_angle_alpha 90.00
_cell_angle_beta 90.00
_cell_angle_gamma 120.00
_space_group_name_H-M_alt 'R 3 m'
_space_group_IT_number 160
_space_group_name_Hall 'R 3 -2"'
loop_
_atom_site_label
_atom_site_type_symbol
_atom_site_fract_x
_atom_site_fract_y
_atom_site_fract_z
Tb1 Tb 0.0000 0.0000 0.0000
Tb2 Tb 0.0000 0.0000 0.2187
Pr1 Pr 0.0000 0.0000 0.7737
Ni1 Ni 0.0000 0.0000 0.6101
```

--- y ---
Compound: Tb2PrNi
Source: Alexandria via LeMat-Bulk
Functional: PBE-GGA
Structure: optimized geometry

```
data_Tb2PrNi
_chemical_formula_sum 'Tb6 Pr3 Ni3'
_cell_length_a 3.6192
_cell_length_b 3.6192
_cell_length_c 31.5316
_cell_angle_alpha 90.00
_cell_angle_beta 90.00
_cell_angle_gamma 120.00
_space_group_name_H-M_alt 'R -3 m'
_space_group_IT_number 166
_space_group_name_Hall '-R 3 2"'
loop_
_atom_site_label
_atom_site_type_symbol
_atom_site_fract_x
_atom_site_fract_y
_atom_site_fract_z
Tb1 Tb 0.0000 0.0000 0.1123
Pr1 Pr 0.0000 0.0000 0.0000
Ni1 Ni 0.0000 0.0000 0.5000
```

What should be chosen as the most stable of them? Choose w.